A geometry-optimized BaNaPCl2 structure. Source: Alexandria via LeMat-Bulk, functional PBE.

a b c (Å): 5.1296 5.1296 5.4758
angles (deg): 90.00 90.00 90.00
Closest atoms and distances in Å follow each position.
Sites, in units of the cell vectors:
P (0.0000, 0.0000, 0.5000)  2 Na 2.74
Na (0.0000, 0.0000, 0.0000)  4 Cl 2.56, 2 P 2.74
Ba (0.5000, 0.5000, 0.5000)  4 P 3.63, 8 Cl 3.75
Cl (0.0000, 0.5000, 0.0000)  2 Na 2.56
Cl (0.5000, 0.0000, 0.0000)  2 Na 2.56

Results
density of states at the Fermi level = 0.486 states/eV/atom
space-group type = No. 123
excess energy over the best structure of this formula in the dataset = 0 meV/atom
electronic total energy = -3.496 eV per atom
uncorrected formation energy = -1.0265 eV/atom

A geometry-optimized BaNaPCl2 structure. Source: Alexandria via LeMat-Bulk, functional PBE.

a b c (Å): 5.9917 5.9917 6.4421
angles (deg): 90.00 90.00 90.00
Closest atoms and distances in Å follow each position.
Sites, in units of the cell vectors:
P (0.0000, 0.0000, 0.5000)  2 Ba 3.22
Na (0.5000, 0.5000, 0.5000)  4 P 4.24, 8 Cl 4.40
Ba (0.0000, 0.0000, 0.0000)  4 Cl 3.00, 2 P 3.22
Cl (0.0000, 0.5000, 0.0000)  2 Ba 3.00
Cl (0.5000, 0.0000, 0.0000)  2 Ba 3.00

Results
density of states at the Fermi level = 0.714 states/eV/atom
space-group type = No. 123
excess energy over the best structure of this formula in the dataset = 140 meV/atom
electronic total energy = -3.355 eV per atom
uncorrected formation energy = -0.8861 eV/atom

A geometry-optimized Ba2NaPCl structure. Source: Alexandria via LeMat-Bulk, functional PBE.

a b c (Å): 6.2330 4.7061 6.2330
angles (deg): 90.00 90.00 90.00
Closest atoms and distances in Å follow each position.
Sites, in units of the cell vectors:
P (0.5000, 0.5000, 0.5000)  8 Ba 3.91
Na (0.0000, 0.0000, 0.0000)  2 Cl 2.35
Ba (0.0000, 0.0000, 0.5000)  2 Na 3.12
Ba (0.5000, 0.0000, 0.0000)  2 Na 3.12
Cl (0.0000, 0.5000, 0.0000)  2 Na 2.35

Results
density of states at the Fermi level = 0.429 states/eV/atom
space-group type = No. 123
electronic total energy = -2.794 eV per atom
uncorrected formation energy = -0.3101 eV/atom

A geometry-optimized BaNa2PbCl structure. Source: Alexandria via LeMat-Bulk, functional PBE.

a b c (Å): 5.3224 5.3224 6.2129
angles (deg): 90.00 90.00 90.00
Closest atoms and distances in Å follow each position.
Sites, in units of the cell vectors:
Pb (0.5000, 0.5000, 0.5000)  4 Ba 3.76, 8 Na 4.09
Na (0.0000, 0.5000, 0.0000)  2 Cl 2.66
Na (0.5000, 0.0000, 0.0000)  2 Cl 2.66
Ba (0.0000, 0.0000, 0.5000)  2 Cl 3.11
Cl (0.0000, 0.0000, 0.0000)  4 Na 2.66

Results
density of states at the Fermi level = 1.074 states/eV/atom
space-group type = No. 123
electronic total energy = -2.813 eV per atom
uncorrected formation energy = -0.7896 eV/atom

A geometry-optimized BaNa2PbCl6 structure. Source: Alexandria via LeMat-Bulk, functional PBE.

a b c (Å): 7.4021 7.4017 7.7743
angles (deg): 61.55 61.56 59.97
Closest atoms and distances in Å follow each position.
Sites, in units of the cell vectors:
Ba (0.8069, 0.8071, 0.5790)  6 Cl 3.07-3.13
Na (0.5197, 0.5199, 0.4412)  6 Cl 2.80-2.94
Na (0.0129, 0.0130, 0.9609)  6 Cl 2.80-2.89
Pb (0.3153, 0.3151, 0.0542)  6 Cl 2.91-2.96
Cl (0.6265, 0.2323, 0.2422)  2 Na 2.80-2.89, 1 Pb 2.96, 1 Ba 3.13
Cl (0.2322, 0.8989, 0.2420)  2 Na 2.80-2.89, 1 Pb 2.96
Cl (0.8991, 0.6267, 0.2422)  2 Na 2.80-2.89, 1 Pb 2.96
Cl (0.3764, 0.7236, 0.7511)  2 Na 2.81-2.94, 1 Pb 2.91, 1 Ba 3.07
Cl (0.7237, 0.1487, 0.7511)  2 Na 2.80-2.94, 1 Pb 2.91, 1 Ba 3.07
Cl (0.1488, 0.3764, 0.7512)  2 Na 2.81-2.94, 1 Pb 2.91, 1 Ba 3.07

Results
density of states at the Fermi level = 0.000 states/eV/atom
space-group type = No. 146
electronic total energy = -3.744 eV per atom
uncorrected formation energy = -1.8094 eV/atom

A geometry-optimized Ba2NaPdCl structure. Source: Alexandria via LeMat-Bulk, functional PBE.

a b c (Å): 6.2333 5.2357 6.2333
angles (deg): 90.00 90.00 90.00
Closest atoms and distances in Å follow each position.
Sites, in units of the cell vectors:
Na (0.5000, 0.5000, 0.5000)  8 Ba 4.07, 4 Cl 4.41
Ba (0.0000, 0.0000, 0.5000)  2 Pd 3.12
Ba (0.5000, 0.0000, 0.0000)  2 Pd 3.12
Pd (0.0000, 0.0000, 0.0000)  2 Cl 2.62
Cl (0.0000, 0.5000, 0.0000)  2 Pd 2.62

Results
density of states at the Fermi level = 0.466 states/eV/atom
space-group type = No. 123
electronic total energy = -2.860 eV per atom
uncorrected formation energy = -0.4193 eV/atom

A geometry-optimized BaNa2PdCl8 structure. Source: Alexandria via LeMat-Bulk, functional PBE.

a b c (Å): 6.6022 6.6022 8.1124
angles (deg): 90.00 90.00 120.00
Closest atoms and distances in Å follow each position.
Sites, in units of the cell vectors:
Ba (0.0000, 0.0000, 0.5000)  6 Cl 3.26
Na (0.6667, 0.3333, 0.1471)  1 Cl 2.65
Na (0.3333, 0.6667, 0.8529)  1 Cl 2.65
Pd (0.0000, 0.0000, 0.0000)  6 Cl 2.35
Cl (0.8348, 0.6695, 0.8278)  1 Pd 2.35
Cl (0.3305, 0.1652, 0.8278)  1 Pd 2.35
Cl (0.8348, 0.1652, 0.8278)  1 Pd 2.35
Cl (0.1652, 0.3305, 0.1722)  1 Pd 2.35
Cl (0.6695, 0.8348, 0.1722)  1 Pd 2.35
Cl (0.1652, 0.8348, 0.1722)  1 Pd 2.35
Cl (0.6667, 0.3333, 0.4743)  1 Na 2.65
Cl (0.3333, 0.6667, 0.5257)  1 Na 2.65

Results
space-group type = No. 164
electronic total energy = -3.349 eV per atom
uncorrected formation energy = -1.3047 eV/atom

A geometry-optimized BaNaPdCl6 structure. Source: Alexandria via LeMat-Bulk, functional PBE.

a b c (Å): 7.0766 6.7378 6.5867
angles (deg): 88.93 87.91 58.27
Closest atoms and distances in Å follow each position.
Sites, in units of the cell vectors:
Ba (0.9986, 0.0031, 0.9993)  6 Cl 3.05-3.17
Na (0.6784, 0.6429, 0.4995)  6 Cl 2.72-2.82
Pd (0.3331, 0.3338, 0.5001)  6 Cl 2.36-2.64
Cl (0.0364, 0.3524, 0.2565)  1 Pd 2.64, 1 Na 2.72
Cl (0.3442, 0.0376, 0.7076)  1 Pd 2.37
Cl (0.6101, 0.3542, 0.7439)  1 Pd 2.64, 1 Na 2.72
Cl (0.0336, 0.6190, 0.7039)  1 Pd 2.36
Cl (0.3459, 0.6194, 0.2964)  1 Pd 2.36
Cl (0.6195, 0.0376, 0.2928)  1 Pd 2.37

Results
space-group type = No. 1
electronic total energy = -3.529 eV per atom
uncorrected formation energy = -1.3604 eV/atom